## MnInIO2 (GGA+U)

Data for MnInIO2 after structural relaxation.

Computed properties:
energy above the most stable polymorph in this dataset	90.1	kJ/mol of atoms
final energy	-23.1	eV for the cell shown

```
data_MnInIO2
_chemical_formula_sum 'Mn1 In1 I1 O2'
_space_group_name_H-M_alt 'P 4/m m m'
_space_group_IT_number 123
_space_group_name_Hall '-P 4 2'
_cell_length_a 4.183
_cell_length_b 4.183
_cell_length_c 6.103
_cell_angle_alpha 90.00
_cell_angle_beta 90.00
_cell_angle_gamma 90.00
loop_
_atom_site_label
_atom_site_fract_x
_atom_site_fract_y
_atom_site_fract_z
_atom_site_occupancy
Mn1 0.000 0.000 0.000 1
In1 0.500 0.500 0.500 1
I1 0.500 0.500 0.000 1
O1 0.000 0.500 0.500 1
```